Record 1
Here is Mg3BePt12 after structural relaxation from Alexandria via LeMat-Bulk. Energies are from PBE-GGA.

Lattice parameters (Å, degrees): 3.9385 3.9385 15.7130 90.00 90.00 90.00
Fractional positions:
Mg1 0.0000 0.0000 0.0000
Mg2 0.0000 0.0000 0.2547
Mg3 0.0000 0.0000 0.7453
Be1 0.0000 0.0000 0.5000
Pt1 0.0000 0.5000 0.1271
Pt2 0.0000 0.5000 0.3828
Pt3 0.0000 0.5000 0.6172
Pt4 0.0000 0.5000 0.8729
Pt5 0.5000 0.0000 0.1271
Pt6 0.5000 0.0000 0.3828
Pt7 0.5000 0.0000 0.6172
Pt8 0.5000 0.0000 0.8729
Pt9 0.5000 0.5000 0.0000
Pt10 0.5000 0.5000 0.2546
Pt11 0.5000 0.5000 0.5000
Pt12 0.5000 0.5000 0.7454

Output
SG: P4/mmm
ΔE_f (eV per atom): -0.521

***

Record 2
Here is Mg4BePt after structural relaxation from Alexandria via LeMat-Bulk. Energies are from PBE-GGA.

Lattice parameters (Å, degrees): 5.3589 5.3589 5.3589 60.00 60.00 60.00
Fractional positions:
Mg1 0.1247 0.1247 0.1247
Mg2 0.1247 0.1247 0.6259
Mg3 0.1247 0.6259 0.1247
Mg4 0.6259 0.1247 0.1247
Be1 0.5000 0.5000 0.5000
Pt1 0.7500 0.7500 0.7500

Output
SG: F-43m
ΔE_f (eV per atom): 0.295

***

Record 3
Here is MgBeRePt2 after structural relaxation from Alexandria via LeMat-Bulk. Energies are from PBE-GGA.

Lattice parameters (Å, degrees): 4.8097 4.8097 4.9360 90.00 90.00 90.00
Fractional positions:
Mg1 0.0000 0.0000 0.0000
Be1 0.5000 0.5000 0.0000
Re1 0.0000 0.0000 0.5000
Pt1 0.0000 0.5000 0.5000
Pt2 0.5000 0.0000 0.5000

Output
SG: P4/mmm
ΔE_f (eV per atom): 1.348

***

Record 4
Here is MgBeSbPt2 after structural relaxation from Alexandria via LeMat-Bulk. Energies are from PBE-GGA.

Lattice parameters (Å, degrees): 4.3694 4.3694 4.7088 90.00 90.00 90.00
Fractional positions:
Mg1 0.0000 0.0000 0.0000
Be1 0.5000 0.5000 0.5000
Sb1 0.5000 0.5000 0.0000
Pt1 0.0000 0.5000 0.5000
Pt2 0.5000 0.0000 0.5000

Output
Formation energy (no corrections) (eV per atom): -0.076
SG: P4/mmm

***

Record 5
Here is MgBePtSe2 after structural relaxation from Alexandria via LeMat-Bulk. Energies are from PBE-GGA.

Lattice parameters (Å, degrees): 4.8800 4.8800 4.5375 90.00 90.00 90.00
Fractional positions:
Mg1 0.0000 0.0000 0.0000
Be1 0.0000 0.0000 0.5000
Pt1 0.5000 0.5000 0.5000
Se1 0.0000 0.5000 0.0000
Se2 0.5000 0.0000 0.0000

Output
Formation energy (no corrections) (eV per atom): 1.001
SG: P4/mmm

***

Record 6
Here is Mg2Be2SiPt5 after structural relaxation from Alexandria via LeMat-Bulk. Energies are from PBE-GGA.

Lattice parameters (Å, degrees): 9.2587 9.2587 3.3057 90.00 90.00 90.00
Fractional positions:
Mg1 0.1727 0.3273 0.0000
Mg2 0.3273 0.8273 0.0000
Mg3 0.6727 0.1727 0.0000
Mg4 0.8273 0.6727 0.0000
Be1 0.1242 0.6242 0.0000
Be2 0.3758 0.1242 0.0000
Be3 0.6242 0.8758 0.0000
Be4 0.8758 0.3758 0.0000
Si1 0.0000 0.0000 0.0000
Si2 0.5000 0.5000 0.0000
Pt1 0.0000 0.5000 0.5000
Pt2 0.0746 0.7963 0.5000
Pt3 0.2037 0.0746 0.5000
Pt4 0.2963 0.5746 0.5000
Pt5 0.4254 0.2963 0.5000
Pt6 0.5000 0.0000 0.5000
Pt7 0.5746 0.7037 0.5000
Pt8 0.7037 0.4254 0.5000
Pt9 0.7963 0.9254 0.5000
Pt10 0.9254 0.2037 0.5000

Output
Formation energy (no corrections) (eV per atom): -0.783
SG: P4/mbm